1 | Below is a relaxed CaAgIr2 crystal, with properties calculated at the PBE level.

## Properties
DOS(E_F), states/eV per cell: 3.493
Magnetic moment, μB/atom: 0.00

Lattice parameters (Å, degrees): 4.9785 5.5995 2.8572 76.50 87.21 115.60
Closest atoms and distances in Å follow each position.
Atoms (fractional coordinates):
Ir: 0.5000 0.0000 0.5000  6 Ir 2.81-2.93, 2 Ca 2.83, 2 Ag 2.83
Ir: 0.0000 0.0000 0.0000  6 Ir 2.81-2.93, 2 Ag 2.83, 2 Ca 2.83
Ca: 0.5000 0.5000 0.0000  4 Ag 2.81-2.93, 4 Ir 2.83, 2 Ca 2.86
Ag: 0.0000 0.5000 0.5000  4 Ca 2.81-2.93, 4 Ir 2.83, 2 Ag 2.86

---

2 | Below is a relaxed CaAgIr2 crystal, with properties calculated at the PBE level.

## Properties
DOS(E_F), states/eV per cell: 2.634
Magnetic moment, μB/atom: 0.00

Lattice parameters (Å, degrees): 2.8946 3.8337 6.8382 90.00 90.00 90.00
Closest atoms and distances in Å follow each position.
Atoms (fractional coordinates):
Ca: 0.5000 0.5000 0.7677  2 Ca 2.89, 5 Ir 2.99-3.13, 4 Ag 3.16
Ir: 0.0000 0.0000 0.0602  6 Ir 2.60-2.89, 1 Ag 2.78
Ir: 0.5000 0.5000 0.2048  6 Ir 2.60-2.89
Ag: 0.0000 0.0000 0.4672  5 Ir 2.78-3.00, 2 Ag 2.89

---

Stability ranking, top entry: 2; the second entry is 0.075 eV/atom less favorable.

---

1 | Below is a relaxed CaAgIr2 crystal, with properties calculated at the PBE level.

## Properties
DOS(E_F), states/eV per cell: 5.638
Magnetic moment, μB/atom: 0.00

Lattice parameters (Å, degrees): 2.8371 2.8371 8.6686 90.00 90.00 90.00
Closest atoms and distances in Å follow each position.
Atoms (fractional coordinates):
Ca: 0.5000 0.5000 0.7500  4 Ca 2.84, 8 Ir 3.02
Ag: 0.5000 0.5000 0.2500  4 Ag 2.84, 8 Ir 2.89
Ir: 0.0000 0.0000 0.4899  4 Ir 2.84, 4 Ag 2.89, 4 Ca 3.02
Ir: 0.0000 0.0000 0.0101  4 Ir 2.84, 4 Ag 2.89, 4 Ca 3.02

---

2 | Below is a relaxed CaAgIr2 crystal, with properties calculated at the PBE level.

## Properties
DOS(E_F), states/eV per cell: 5.398
Magnetic moment, μB/atom: 0.00

Lattice parameters (Å, degrees): 9.6393 9.6393 9.6393 17.28 17.28 17.28
Closest atoms and distances in Å follow each position.
Atoms (fractional coordinates):
Ir: 0.5003 0.5003 0.5003  3 Ag 2.90, 6 Ir 2.90, 3 Ca 2.91
Ir: 0.9997 0.9997 0.9997  3 Ag 2.90, 6 Ir 2.90, 3 Ca 2.91
Ag: 0.2500 0.2500 0.2500  6 Ir 2.90, 6 Ag 2.90
Ca: 0.7500 0.7500 0.7500  6 Ca 2.90, 6 Ir 2.91

---

3 | Below is a relaxed CaAgIr2 crystal, with properties calculated at the PBE level.

## Properties
DOS(E_F), states/eV per cell: 6.082
Magnetic moment, μB/atom: 0.00

Lattice parameters (Å, degrees): 5.2873 5.2873 5.2873 135.78 135.78 64.32
Closest atoms and distances in Å follow each position.
Atoms (fractional coordinates):
Ca: 0.7500 0.2500 0.5000  4 Ag 2.81, 8 Ir 2.99
Ir: 0.5000 0.5000 0.0000  4 Ir 2.81, 4 Ca 2.99, 4 Ag 2.99
Ir: 0.0000 0.0000 0.0000  4 Ir 2.81, 4 Ag 2.99, 4 Ca 2.99
Ag: 0.2500 0.7500 0.5000  4 Ca 2.81, 8 Ir 2.99

---

Stability ranking, top entry: 3; the second entry is 0.096 eV/atom less favorable.

---

1 | Below is a relaxed CaAg3Ir crystal, with properties calculated at the PBE level.

## Properties
DOS(E_F), states/eV per cell: 2.471
Magnetic moment, μB/atom: 0.00

Lattice parameters (Å, degrees): 4.9497 4.9497 4.9497 90.00 90.00 90.00
Closest atoms and distances in Å follow each position.
Atoms (fractional coordinates):
Ca: 0.0000 0.0000 0.0000  6 Ag 2.47
Ag: 0.0000 0.5000 0.0000  2 Ca 2.47
Ag: 0.0000 0.0000 0.5000  2 Ca 2.47
Ag: 0.5000 0.0000 0.0000  2 Ca 2.47
Ir: 0.5000 0.5000 0.5000  12 Ag 3.50

---

2 | Below is a relaxed CaAg3Ir crystal, with properties calculated at the PBE level.

## Properties
DOS(E_F), states/eV per cell: 3.869
Magnetic moment, μB/atom: 0.00

Lattice parameters (Å, degrees): 5.0793 5.0793 5.0793 90.00 90.00 90.00
Closest atoms and distances in Å follow each position.
Atoms (fractional coordinates):
Ag: 0.5000 0.0000 0.0000  2 Ir 2.54
Ag: 0.0000 0.0000 0.5000  2 Ir 2.54
Ag: 0.0000 0.5000 0.0000  2 Ir 2.54
Ca: 0.5000 0.5000 0.5000  12 Ag 3.59
Ir: 0.0000 0.0000 0.0000  6 Ag 2.54

---

Stability ranking, top entry: 2; the second entry is 1.106 eV/atom less favorable.

---

1 | Below is a relaxed Ca3AgIr crystal, with properties calculated at the PBE level.

## Properties
DOS(E_F), states/eV per cell: 3.168
Magnetic moment, μB/atom: 0.00

Lattice parameters (Å, degrees): 5.4426 5.4426 5.4426 90.00 90.00 90.00
Closest atoms and distances in Å follow each position.
Atoms (fractional coordinates):
Ir: 0.0000 0.0000 0.0000  6 Ca 2.72
Ca: 0.5000 0.0000 0.0000  2 Ir 2.72
Ca: 0.0000 0.0000 0.5000  2 Ir 2.72
Ca: 0.0000 0.5000 0.0000  2 Ir 2.72
Ag: 0.5000 0.5000 0.5000  12 Ca 3.85

---

2 | Below is a relaxed Ca3AgIr crystal, with properties calculated at the PBE level.

## Properties
DOS(E_F), states/eV per cell: 4.324
Magnetic moment, μB/atom: 0.00

Lattice parameters (Å, degrees): 5.9086 5.9086 8.7578 101.71 101.70 113.50
Closest atoms and distances in Å follow each position.
Atoms (fractional coordinates):
Ir: 0.2501 0.2501 0.0000  8 Ca 2.88-3.07
Ir: 0.7499 0.7499 0.0000  8 Ca 2.88-3.07
Ca: 0.3020 0.8021 0.1041  4 Ir 3.07, 2 Ca 3.42
Ca: 0.0766 0.2049 0.2815  2 Ir 2.88, 2 Ag 3.18
Ca: 0.9234 0.7951 0.7185  2 Ir 2.88, 2 Ag 3.18
Ca: 0.6980 0.1979 0.8959  4 Ir 3.07, 2 Ca 3.42
Ca: 0.7049 0.5767 0.2816  2 Ir 2.88, 2 Ag 3.18
Ca: 0.2951 0.4233 0.7184  2 Ir 2.88, 2 Ag 3.18
Ag: 0.2913 0.7913 0.5000  1 Ag 2.70
Ag: 0.7087 0.2087 0.5000  1 Ag 2.70

---

Stability ranking, top entry: 2; the second entry is 0.192 eV/atom less favorable.

---

1 | Below is a relaxed Ca2AgIrN crystal, with properties calculated at the PBE level.

## Properties
DOS(E_F), states/eV per cell: 3.361
Magnetic moment, μB/atom: 0.19

Lattice parameters (Å, degrees): 4.8183 4.1578 4.8183 90.00 90.00 90.00
Closest atoms and distances in Å follow each position.
Atoms (fractional coordinates):
N: 0.0000 0.0000 0.0000  2 Ag 2.08
Ca: 0.0000 0.0000 0.5000  2 N 2.41
Ca: 0.5000 0.0000 0.0000  2 N 2.41
Ir: 0.5000 0.5000 0.5000  8 Ca 3.18, 4 Ag 3.41
Ag: 0.0000 0.5000 0.0000  2 N 2.08

---

2 | Below is a relaxed Ca2AgIrN crystal, with properties calculated at the PBE level.

## Properties
DOS(E_F), states/eV per cell: 2.833
Magnetic moment, μB/atom: 0.00

Lattice parameters (Å, degrees): 5.0976 5.0976 3.8025 90.00 90.00 90.00
Closest atoms and distances in Å follow each position.
Atoms (fractional coordinates):
N: 0.0000 0.0000 0.0000  2 Ir 1.90
Ir: 0.0000 0.0000 0.5000  2 N 1.90
Ca: 0.5000 0.0000 0.0000  2 N 2.55
Ca: 0.0000 0.5000 0.0000  2 N 2.55
Ag: 0.5000 0.5000 0.5000  8 Ca 3.18

---

Stability ranking, top entry: 2; the second entry is 0.561 eV/atom less favorable.

---

1 | Below is a relaxed CaSmAgIr crystal, with properties calculated at the PBE level.

## Properties
DOS(E_F), states/eV per cell: 1.988
Magnetic moment, μB/atom: 0.00

Lattice parameters (Å, degrees): 3.5440 3.5440 7.4621 90.00 90.00 90.00
Closest atoms and distances in Å follow each position.
Atoms (fractional coordinates):
Ca: 0.5000 0.5000 0.7989  4 Ir 3.09, 4 Ag 3.24, 1 Sm 3.31
Ag: 0.0000 0.0000 0.0739  4 Ca 3.24, 4 Sm 3.27, 4 Ag 3.54, 1 Ir 3.60
Sm: 0.5000 0.5000 0.3550  4 Ir 2.92, 4 Ag 3.27
Ir: 0.0000 0.0000 0.5569  4 Sm 2.92, 4 Ca 3.09

---

2 | Below is a relaxed CaSmAgIr crystal, with properties calculated at the PBE level.

## Properties
DOS(E_F), states/eV per cell: 2.619
Magnetic moment, μB/atom: 0.00

Lattice parameters (Å, degrees): 5.0297 5.0297 5.0297 60.00 60.00 60.00
Closest atoms and distances in Å follow each position.
Atoms (fractional coordinates):
Ag: 0.2500 0.2500 0.2500  4 Ca 3.08, 4 Sm 3.08
Ir: 0.7500 0.7500 0.7500  4 Ca 3.08, 4 Sm 3.08
Sm: 0.5000 0.5000 0.5000  4 Ag 3.08, 4 Ir 3.08
Ca: 0.0000 0.0000 0.0000  4 Ir 3.08, 4 Ag 3.08

---

Stability ranking, top entry: 1; the second entry is 0.027 eV/atom less favorable.